No. 1
The following is a PBE with a Hubbard U calculation of a geometry-optimized VSiF2 structure, from the Alexandria database.

Values from the calculation:
energy above the lowest structure with this stoichiometry: 597 meV/atom
calculated volume: 14.8 A^3/atom
final energy: -4.990 eV/atom
space-group type: R-3m (166)

POSCAR file:
```
VSiF2
1.0
1.684 0.000 8.012
-0.842 1.458 8.012
-0.842 -1.458 8.012
Si F V
1 2 1
Direct
0.500 0.500 0.500
0.921 0.921 0.921
0.079 0.079 0.079
0.000 0.000 0.000
```

No. 2
The following is a PBE with a Hubbard U calculation of a geometry-optimized VSi3F structure, from the Alexandria database.

Values from the calculation:
energy above the lowest structure with this stoichiometry: 0 meV/atom
calculated volume: 15.6 A^3/atom
final energy: -4.623 eV/atom
space-group type: Pm-3m (221)

POSCAR file:
```
VSi3F
1.0
-0.316 1.637 3.933
-4.216 0.449 -0.525
-0.614 -3.920 1.582
F V Si
1 1 3
Direct
0.000 0.000 0.000
0.500 0.500 0.500
0.500 0.000 0.000
0.000 0.000 0.500
0.000 0.500 0.000
```

No. 3
The following is a PBE with a Hubbard U calculation of a geometry-optimized VSiF3 structure, from the Alexandria database.

Values from the calculation:
energy above the lowest structure with this stoichiometry: 0 meV/atom
calculated volume: 14.4 A^3/atom
final energy: -5.211 eV/atom
space-group type: Pm-3m (221)

POSCAR file:
```
VSiF3
1.0
4.164 0.000 0.000
0.000 4.164 0.000
0.000 0.000 4.164
F V Si
3 1 1
Direct
0.000 0.500 0.000
0.500 0.000 0.000
0.000 0.000 0.500
0.000 0.000 0.000
0.500 0.500 0.500
```

No. 4
The following is a PBE with a Hubbard U calculation of a geometry-optimized VSiF2 structure, from the Alexandria database.

Values from the calculation:
energy above the lowest structure with this stoichiometry: 1138 meV/atom
calculated volume: 12.5 A^3/atom
final energy: -4.450 eV/atom
space-group type: Fm-3m (225)

POSCAR file:
```
VSiF2
1.0
0.000 2.925 2.925
2.925 0.000 2.925
2.925 2.925 0.000
Si F V
1 2 1
Direct
0.000 0.000 0.000
0.750 0.750 0.750
0.250 0.250 0.250
0.500 0.500 0.500
```

No. 5
The following is a PBE with a Hubbard U calculation of a geometry-optimized VSiF2 structure, from the Alexandria database.

Values from the calculation:
energy above the lowest structure with this stoichiometry: 0 meV/atom
calculated volume: 19.5 A^3/atom
final energy: -5.588 eV/atom
space-group type: R-3m (166)

POSCAR file:
```
VSiF2
1.0
3.006 -8.098 4.258
5.311 -6.224 5.078
2.723 -6.306 6.750
F V Si
2 1 1
Direct
0.872 0.872 0.872
0.128 0.128 0.128
0.500 0.500 0.500
0.000 0.000 0.000
```

No. 6
The following is a PBE with a Hubbard U calculation of a geometry-optimized VSiF3 structure, from the Alexandria database.

Values from the calculation:
energy above the lowest structure with this stoichiometry: 514 meV/atom
calculated volume: 15.3 A^3/atom
final energy: -4.697 eV/atom
space-group type: Pm-3m (221)

POSCAR file:
```
VSiF3
1.0
4.250 0.000 0.000
0.000 4.250 0.000
0.000 0.000 4.250
F Si V
3 1 1
Direct
0.000 0.500 0.000
0.000 0.000 0.500
0.500 0.000 0.000
0.000 0.000 0.000
0.500 0.500 0.500
```

No. 7
The following is a PBE with a Hubbard U calculation of a geometry-optimized VSiF6 structure, from the Alexandria database.

Values from the calculation:
calculated volume: 15.8 A^3/atom
final energy: -5.831 eV/atom
space-group type: C2/m (12)

POSCAR file:
```
VSiF6
1.0
-0.778 3.662 -3.939
-3.023 -3.349 -2.541
-5.091 -0.101 0.937
F Si V
6 1 1
Direct
0.192 0.284 0.758
0.195 0.021 0.284
0.808 0.758 0.284
0.805 0.284 0.021
0.805 0.020 0.757
0.195 0.757 0.020
0.000 0.021 0.021
0.500 0.021 0.021
```

No. 8
The following is a PBE with a Hubbard U calculation of a geometry-optimized V3SiF structure, from the Alexandria database.

Values from the calculation:
energy above the lowest structure with this stoichiometry: 0 meV/atom
calculated volume: 12.9 A^3/atom
final energy: -5.242 eV/atom
space-group type: Pm-3m (221)

POSCAR file:
```
V3SiF
1.0
-2.045 1.836 2.925
-0.576 -3.533 1.815
3.405 0.505 2.063
V Si F
3 1 1
Direct
0.500 0.000 0.000
0.000 0.000 0.500
0.000 0.500 0.000
0.500 0.500 0.500
0.000 0.000 0.000
```

No. 9
The following is a PBE with a Hubbard U calculation of a geometry-optimized VSiF5 structure, from the Alexandria database.

Values from the calculation:
calculated volume: 15.1 A^3/atom
final energy: -5.667 eV/atom
space-group type: C2/c (15)

POSCAR file:
```
VSiF5
1.0
5.104 0.155 -1.969
-0.634 5.070 -1.969
0.048 0.055 8.092
F Si V
10 2 2
Direct
0.556 0.943 0.750
0.843 0.291 0.656
0.157 0.709 0.344
0.782 0.700 0.457
0.792 0.342 0.156
0.200 0.283 0.957
0.218 0.300 0.543
0.208 0.658 0.844
0.800 0.717 0.043
0.444 0.057 0.250
0.831 0.668 0.250
0.169 0.332 0.750
0.500 0.000 0.500
0.500 0.000 0.000
```

No. 10
The following is a PBE with a Hubbard U calculation of a geometry-optimized VSi2F8 structure, from the Alexandria database.

Values from the calculation:
calculated volume: 14.1 A^3/atom
final energy: -5.527 eV/atom
space-group type: C2/m (12)

POSCAR file:
```
VSi2F8
1.0
5.145 -0.010 -0.008
0.064 6.373 1.737
0.064 3.389 5.670
F V Si
8 1 2
Direct
0.747 0.660 0.136
0.682 0.113 0.113
0.253 0.340 0.864
0.747 0.136 0.660
0.318 0.887 0.887
0.165 0.280 0.280
0.835 0.720 0.720
0.253 0.864 0.340
0.000 0.000 0.000
0.390 0.185 0.185
0.610 0.815 0.815
```

No. 11
The following is a PBE with a Hubbard U calculation of a geometry-optimized YVSiF2 structure, from the Alexandria database.

Values from the calculation:
calculated volume: 18.7 A^3/atom
final energy: -5.185 eV/atom
space-group type: P4/mmm (123)

POSCAR file:
```
YVSiF2
1.0
4.191 0.000 0.000
0.000 5.321 0.000
0.000 0.000 4.191
F V Si Y
2 1 1 1
Direct
0.500 0.000 0.000
0.000 0.000 0.500
0.000 0.500 0.000
0.000 0.000 0.000
0.500 0.500 0.500
```

No. 12
The following is a PBE with a Hubbard U calculation of a geometry-optimized ZrVSiF2 structure, from the Alexandria database.

Values from the calculation:
calculated volume: 18.9 A^3/atom
final energy: -5.268 eV/atom
space-group type: P4/mmm (123)

POSCAR file:
```
ZrVSiF2
1.0
4.055 0.000 0.000
0.000 5.746 0.000
0.000 0.000 4.055
V F Zr Si
1 2 1 1
Direct
0.500 0.500 0.500
0.500 0.000 0.000
0.000 0.000 0.500
0.000 0.500 0.000
0.000 0.000 0.000
```

No. 13
The following is a PBE with a Hubbard U calculation of a geometry-optimized SiWF2 structure, from the Alexandria database.

Values from the calculation:
energy above the lowest structure with this stoichiometry: 248 meV/atom
calculated volume: 14.2 A^3/atom
final energy: -4.641 eV/atom
space-group type: R-3m (166)

POSCAR file:
```
SiWF2
1.0
1.575 0.000 8.813
-0.787 1.364 8.813
-0.787 -1.364 8.813
Si F W
1 2 1
Direct
0.000 0.000 0.000
0.936 0.936 0.936
0.064 0.064 0.064
0.500 0.500 0.500
```

No. 14
The following is a PBE with a Hubbard U calculation of a geometry-optimized SiWF2 structure, from the Alexandria database.

Values from the calculation:
energy above the lowest structure with this stoichiometry: 107 meV/atom
calculated volume: 15.9 A^3/atom
final energy: -4.782 eV/atom
space-group type: R-3m (166)

POSCAR file:
```
SiWF2
1.0
1.646 0.000 9.031
-0.823 1.425 9.031
-0.823 -1.425 9.031
W F Si
1 2 1
Direct
0.000 0.000 0.000
0.928 0.928 0.928
0.072 0.072 0.072
0.500 0.500 0.500
```

No. 15
The following is a PBE with a Hubbard U calculation of a geometry-optimized Si2WF structure, from the Alexandria database.

Values from the calculation:
energy above the lowest structure with this stoichiometry: 34 meV/atom
calculated volume: 14.4 A^3/atom
final energy: -4.662 eV/atom
space-group type: I-42d (122)

POSCAR file:
```
Si2WF
1.0
-0.479 -3.716 -4.976
5.776 -2.100 1.012
1.558 -5.075 -0.258
F W Si
2 2 4
Direct
0.500 0.500 0.000
0.250 0.750 0.500
0.000 0.000 0.000
0.750 0.250 0.500
0.562 0.125 0.250
0.375 0.438 0.750
0.875 0.812 0.750
0.188 0.625 0.250
```

No. 16
The following is a PBE with a Hubbard U calculation of a geometry-optimized SiWF2 structure, from the Alexandria database.

Values from the calculation:
energy above the lowest structure with this stoichiometry: 0 meV/atom
calculated volume: 13.7 A^3/atom
final energy: -4.889 eV/atom
space-group type: I-42d (122)

POSCAR file:
```
SiWF2
1.0
3.674 0.000 0.000
0.000 3.674 0.000
1.837 1.837 8.107
F W Si
4 2 2
Direct
0.637 0.125 0.250
0.113 0.625 0.250
0.875 0.887 0.750
0.375 0.363 0.750
0.000 0.000 0.000
0.750 0.250 0.500
0.500 0.500 0.000
0.250 0.750 0.500
```

No. 17
The following is a PBE with a Hubbard U calculation of a geometry-optimized SiWF2 structure, from the Alexandria database.

Values from the calculation:
energy above the lowest structure with this stoichiometry: 832 meV/atom
calculated volume: 13.5 A^3/atom
final energy: -4.057 eV/atom
space-group type: Fm-3m (225)

POSCAR file:
```
SiWF2
1.0
0.000 2.999 2.999
2.999 0.000 2.999
2.999 2.999 0.000
W F Si
1 2 1
Direct
0.500 0.500 0.500
0.750 0.750 0.750
0.250 0.250 0.250
0.000 0.000 0.000
```

No. 18
The following is a PBE with a Hubbard U calculation of a geometry-optimized Si2WF structure, from the Alexandria database.

Values from the calculation:
energy above the lowest structure with this stoichiometry: 0 meV/atom
calculated volume: 15.3 A^3/atom
final energy: -4.696 eV/atom
space-group type: Fm-3m (225)

POSCAR file:
```
Si2WF
1.0
0.000 3.129 3.129
3.129 0.000 3.129
3.129 3.129 0.000
F Si W
1 2 1
Direct
0.000 0.000 0.000
0.750 0.750 0.750
0.250 0.250 0.250
0.500 0.500 0.500
```

No. 19
The following is a PBE with a Hubbard U calculation of a geometry-optimized Zn2SiWF structure, from the Alexandria database.

Values from the calculation:
calculated volume: 15.1 A^3/atom
final energy: -3.078 eV/atom
space-group type: P4/mmm (123)

POSCAR file:
```
Zn2SiWF
1.0
-2.231 -1.204 3.402
3.559 -0.770 2.061
0.033 3.993 1.435
W F Zn Si
1 1 2 1
Direct
0.500 0.500 0.500
0.000 0.000 0.000
0.000 0.000 0.500
0.500 0.000 0.000
0.000 0.500 0.000
```